The following is a PBE calculation of an optimized crystal structure of Sn2PdAu2, from the Alexandria database.

a b c (Å): 7.373 7.373 3.903
angles (deg): 90.00 90.00 90.00
Atoms (fractional coordinates):
Au: 0.136 0.364 0.000
Au: 0.864 0.636 0.000
Au: 0.636 0.136 0.000
Au: 0.364 0.864 0.000
Sn: 0.827 0.327 0.500
Sn: 0.327 0.173 0.500
Sn: 0.673 0.827 0.500
Sn: 0.173 0.673 0.500
Pd: 0.000 0.000 0.000
Pd: 0.500 0.500 0.000

* formation energy from the elements: -0.0938 eV/atom
* space-group type: No. 127
* ΔE to the lowest computed polymorph: 0.675 eV/f.u.
* V: 106 Å³/f.u.

The following is a PBE calculation of an optimized crystal structure of CaBiS2Cl, from the Alexandria database.

a b c (Å): 5.303 5.303 4.936
angles (deg): 90.00 90.00 90.00
Atoms (fractional coordinates):
Cl: 0.000 0.000 0.500
S: 0.000 0.500 0.000
S: 0.500 0.000 0.000
Ca: 0.000 0.000 0.000
Bi: 0.500 0.500 0.500

* energy relative to the elements, uncorrected: -477 meV per atom
* space-group type: No. 123
* ΔE to the lowest computed polymorph: 3.788 eV/f.u.
* V: 139 Å³/f.u.

The following is a PBE calculation of an optimized crystal structure of La2Re, from the Alexandria database.

a b c (Å): 5.046 5.046 3.480
angles (deg): 90.00 90.00 90.00
Atoms (fractional coordinates):
La: 0.500 0.000 0.500
La: 0.000 0.500 0.500
Re: 0.000 0.000 0.000

* formation energy from the elements: 0.3929 eV/atom
* space-group type: No. 123
* ΔE to the lowest computed polymorph: 0.707 eV/f.u.
* V: 89 Å³/f.u.

The following is a PBE calculation of an optimized crystal structure of Er6SbAs5, from the Alexandria database.

a b c (Å): 7.147 7.158 7.152
angles (deg): 59.97 80.38 70.50
Atoms (fractional coordinates):
Er: 0.746 0.740 0.000
Er: 0.744 0.430 0.656
Er: 0.256 0.915 0.656
Er: 0.744 0.085 0.344
Er: 0.256 0.570 0.344
Er: 0.254 0.260 0.000
As: 0.500 0.164 0.672
As: 0.000 0.333 0.334
As: 0.500 0.836 0.328
As: 0.000 0.667 0.666
As: 0.500 0.500 0.000
Sb: 0.000 0.000 0.000

* energy relative to the elements, uncorrected: -1433 meV per atom
* space-group type: No. 12
* V: 299 Å³/f.u.